# 1
A relaxed structure of Ac8GaPb2. Source: Alexandria via LeMat-Bulk, functional PBE-GGA.

abc: 5.623 7.523 10.938
angles: 102.84 104.89 90.00
Sites, in units of the cell vectors:
Ac (0.982, 0.223, 0.963)
Ac (0.788, 0.674, 0.577)
Ac (0.589, 0.461, 0.178)
Ac (0.018, 0.777, 0.037)
Ac (0.653, 0.993, 0.307)
Ac (0.347, 0.007, 0.693)
Ac (0.411, 0.539, 0.822)
Ac (0.212, 0.326, 0.423)
Pb (0.817, 0.238, 0.634)
Pb (0.183, 0.762, 0.366)
Ga (0.500, 0.000, 0.000)

## Properties
M_tot: 0.0 Bohr magnetons per cell
energy relative to the elements: -0.24 eV/atom
DOS(E_F): 11.8 states/eV per cell
space group: C2/m, No. 12

***

# 2
A relaxed structure of La3Tb2Sm5. Source: Alexandria via LeMat-Bulk, functional PBE-GGA.

abc: 9.848 9.784 11.246
angles: 126.59 126.72 68.41
Sites, in units of the cell vectors:
Tb (0.225, 0.987, 0.258)
Tb (0.533, 0.271, 0.258)
Tb (0.467, 0.729, 0.742)
Tb (0.775, 0.013, 0.742)
La (0.727, 0.468, 0.247)
La (0.771, 0.021, 0.043)
La (0.273, 0.532, 0.753)
La (0.229, 0.979, 0.957)
La (0.020, 0.779, 0.247)
La (0.980, 0.221, 0.753)
Sm (0.614, 0.871, 0.263)
Sm (0.471, 0.721, 0.442)
Sm (0.148, 0.392, 0.263)
Sm (0.271, 0.521, 0.042)
Sm (0.529, 0.279, 0.558)
Sm (0.729, 0.479, 0.958)
Sm (0.386, 0.129, 0.737)
Sm (0.852, 0.608, 0.737)
Sm (0.980, 0.230, 0.460)
Sm (0.020, 0.770, 0.540)

## Properties
M_tot: 0.0 Bohr magnetons per cell
energy relative to the elements: 0.18 eV/atom
DOS(E_F): 34.2 states/eV per cell
space group: C2/c, No. 15

***

# 3
A relaxed structure of LaTb2CuS5. Source: Alexandria via LeMat-Bulk, functional PBE-GGA.

abc: 3.851 9.563 11.021
angles: 90.00 90.00 101.61
Sites, in units of the cell vectors:
La (0.200, 0.400, 0.006)
La (0.800, 0.600, 0.506)
Tb (0.892, 0.784, 0.810)
Tb (0.915, 0.830, 0.182)
Tb (0.108, 0.216, 0.310)
Tb (0.085, 0.170, 0.682)
Cu (0.436, 0.872, 0.452)
Cu (0.564, 0.128, 0.952)
S (0.304, 0.609, 0.700)
S (0.636, 0.273, 0.506)
S (0.665, 0.330, 0.825)
S (0.949, 0.899, 0.562)
S (0.505, 0.010, 0.282)
S (0.335, 0.670, 0.325)
S (0.364, 0.727, 0.006)
S (0.696, 0.391, 0.200)
S (0.495, 0.990, 0.782)
S (0.051, 0.101, 0.062)

## Properties
M_tot: 0.0 Bohr magnetons per cell
energy relative to the elements, uncorrected: -1719 meV/atom
DOS(E_F): 0.0 states/eV per cell
space group: Cmc2_1, No. 36

***

# 4
A relaxed structure of Ba2DyO. Source: Alexandria via LeMat-Bulk, functional PBE-GGA.

abc: 3.809 3.809 10.770
angles: 79.82 79.82 60.00
Sites, in units of the cell vectors:
Dy (0.000, 0.000, 0.000)
O (0.500, 0.500, 0.500)
Ba (0.884, 0.884, 0.349)
Ba (0.116, 0.116, 0.651)

## Properties
M_tot: 0.0 Bohr magnetons per cell
energy relative to the elements, uncorrected: -916 meV/atom
DOS(E_F): 3.8 states/eV per cell
space group: R-3m, No. 166

***

# 5
A relaxed structure of TlZnOF2. Source: Alexandria via LeMat-Bulk, functional PBE-GGA.

abc: 4.527 4.527 4.185
angles: 90.00 90.00 90.00
Sites, in units of the cell vectors:
O (0.000, 0.000, 0.500)
F (0.000, 0.500, 0.000)
F (0.500, 0.000, 0.000)
Tl (0.000, 0.000, 0.000)
Zn (0.500, 0.500, 0.500)

## Properties
M_tot: 0.6 Bohr magnetons per cell
energy relative to the elements, uncorrected: -861 meV/atom
DOS(E_F): 1.9 states/eV per cell
space group: P4/mmm, No. 123

***

# 6
A relaxed structure of Nd5Th3N8. Source: Alexandria via LeMat-Bulk, functional PBE-GGA.

abc: 7.321 7.321 7.309
angles: 59.94 59.94 60.00
Sites, in units of the cell vectors:
N (0.755, 0.755, 0.736)
N (0.750, 0.750, 0.261)
N (0.239, 0.750, 0.261)
N (0.761, 0.250, 0.739)
N (0.750, 0.239, 0.261)
N (0.250, 0.761, 0.739)
N (0.245, 0.245, 0.264)
N (0.250, 0.250, 0.739)
Nd (0.500, 0.500, 0.000)
Nd (0.000, 0.500, 0.000)
Nd (0.500, 0.500, 0.500)
Nd (0.000, 0.000, 0.000)
Nd (0.500, 0.000, 0.000)
Th (0.500, 0.000, 0.500)
Th (0.000, 0.500, 0.500)
Th (0.000, 0.000, 0.500)

## Properties
M_tot: 0.0 Bohr magnetons per cell
energy relative to the elements, uncorrected: -1500 meV/atom
DOS(E_F): 2.3 states/eV per cell
space group: R-3m, No. 166

***

# 7
A relaxed structure of TaNbTc2H. Source: Alexandria via LeMat-Bulk, functional PBE-GGA.

abc: 4.418 4.418 3.493
angles: 90.00 90.00 90.00
Sites, in units of the cell vectors:
Nb (0.500, 0.500, 0.500)
H (0.000, 0.000, 0.000)
Tc (0.500, 0.000, 0.000)
Tc (0.000, 0.500, 0.000)
Ta (0.000, 0.000, 0.500)

## Properties
M_tot: 0.0 Bohr magnetons per cell
DOS(E_F): 2.6 states/eV per cell
E: -0.339 Ha/atom
space group: P4/mmm, No. 123

***

# 8
A relaxed structure of Nd2Al3GaAu4. Source: Alexandria via LeMat-Bulk, functional PBE-GGA.

abc: 4.432 4.432 10.491
angles: 90.00 90.00 90.00
Sites, in units of the cell vectors:
Au (0.500, 0.000, 0.632)
Au (0.000, 0.000, 0.000)
Au (0.000, 0.500, 0.368)
Au (0.500, 0.500, 0.000)
Nd (0.500, 0.000, 0.249)
Nd (0.000, 0.500, 0.751)
Al (0.000, 0.500, 0.130)
Al (0.500, 0.000, 0.870)
Al (0.000, 0.000, 0.500)
Ga (0.500, 0.500, 0.500)

## Properties
M_tot: 0.0 Bohr magnetons per cell
energy relative to the elements: -0.72 eV/atom
DOS(E_F): 4.4 states/eV per cell
space group: P-4m2, No. 115

***

# 9
A relaxed structure of Sr2TaAl. Source: Alexandria via LeMat-Bulk, functional PBE-GGA.

abc: 6.083 6.083 6.083
angles: 135.52 135.52 64.72
Sites, in units of the cell vectors:
Sr (0.000, 0.000, 0.000)
Sr (0.500, 0.500, 0.000)
Al (0.750, 0.250, 0.500)
Ta (0.250, 0.750, 0.500)

## Properties
M_tot: 1.4 Bohr magnetons per cell
energy relative to the elements: 0.75 eV/atom
DOS(E_F): 3.0 states/eV per cell
space group: I4/mmm, No. 139

***

# 10
A relaxed structure of Mg2TlIn. Source: Alexandria via LeMat-Bulk, functional PBE-GGA.

abc: 5.512 7.413 3.292
angles: 65.18 89.06 123.17
Sites, in units of the cell vectors:
Mg (0.000, 0.000, 0.000)
Mg (0.000, 0.500, 0.500)
In (0.500, 0.000, 0.500)
Tl (0.500, 0.500, 0.000)

## Properties
M_tot: 0.0 Bohr magnetons per cell
energy relative to the elements: -0.06 eV/atom
DOS(E_F): 1.6 states/eV per cell
space group: C2/m, No. 12

***

# 11
A relaxed structure of La2Pr4Sm2Tm. Source: Alexandria via LeMat-Bulk, functional PBE-GGA.

abc: 3.714 9.786 9.862
angles: 114.98 90.00 100.94
Sites, in units of the cell vectors:
La (0.665, 0.329, 0.999)
La (0.335, 0.671, 0.001)
Pr (0.518, 0.036, 0.331)
Pr (0.815, 0.630, 0.667)
Pr (0.185, 0.370, 0.333)
Pr (0.482, 0.964, 0.669)
Sm (0.852, 0.704, 0.332)
Sm (0.148, 0.296, 0.668)
Tm (0.000, 0.000, 0.000)

## Properties
M_tot: 0.0 Bohr magnetons per cell
energy relative to the elements: 0.01 eV/atom
DOS(E_F): 12.5 states/eV per cell
space group: C2/m, No. 12

***

# 12
A relaxed structure of H2S. Source: Alexandria via LeMat-Bulk, functional PBE-GGA.

abc: 4.068 4.711 6.215
angles: 89.58 80.55 75.99
Sites, in units of the cell vectors:
H (0.014, 0.714, 0.389)
H (0.707, 0.570, 0.615)
H (0.168, 0.157, 0.026)
H (0.988, 0.868, 0.886)
S (0.884, 0.051, 0.065)
S (0.049, 0.508, 0.543)

## Properties
M_tot: 0.0 Bohr magnetons per cell
DOS(E_F): 0.0 states/eV per cell
E: -0.139 Ha/atom
space group: P1, No. 1